1.
Crystalline NdTiCu2 at its relaxed geometry. Source: Alexandria, functional PBE.

The structure belongs to space group P4/mmm (No. 123); the cell edges are 3.248, 3.248 and 6.968 Å and the angles 90.00°, 90.00° and 90.00°. The distinct sites, in fractional coordinates, are Nd at (0.000, 0.000, 0.000), Ti at (0.000, 0.000, 0.500) and Cu at (0.500, 0.500, 0.310).

As for the calculated volume: 73.5 Å³ per cell. The value obtained for the magnetization is 0.7 μB per cell. Its formation energy is -0.15 eV per formula unit. Its electronic total energy is -5.251 eV per atom.

2.
Crystalline Sm2Ga2Ag3 at its relaxed geometry. Source: Alexandria, functional PBE.

The structure belongs to space group Cmmm (No. 65); the cell edges are 4.227, 19.620 and 3.706 Å and the angles 90.00°, 90.00° and 90.00°. The distinct sites, in fractional coordinates, are Sm at (0.000, 0.158, 0.000), Ga at (0.000, 0.287, 0.500), Ag at (0.000, 0.000, 0.000) and Ag at (0.000, 0.430, 0.500).

As for the calculated volume: 307.3 Å³ per cell. Its energy above the most stable polymorph in this dataset is 0.000 eV per formula unit. The value obtained for the magnetization is 0.0 μB per cell. Its formation energy is -2.32 eV per formula unit. Its electronic total energy is -3.766 eV per atom.

3.
Crystalline AcThCuTc at its relaxed geometry. Source: Alexandria, functional PBE.

The structure belongs to space group F-43m (No. 216); the cell edges are 7.304, 7.304 and 7.304 Å and the angles 90.00°, 90.00° and 90.00°. The distinct sites, in fractional coordinates, are Ac at (0.000, 0.000, 0.000), Th at (0.000, 0.000, 0.500), Cu at (0.250, 0.250, 0.750) and Tc at (0.250, 0.250, 0.250).

As for the calculated volume: 389.6 Å³ per cell. The value obtained for the magnetization is 0.0 μB per cell. Its formation energy is 0.41 eV per formula unit. Its electronic total energy is -6.395 eV per atom.

4.
Crystalline RbBe3Pb at its relaxed geometry. Source: Alexandria, functional PBE.

The structure belongs to space group Pm-3m (No. 221); the cell edges are 5.370, 5.370 and 5.370 Å and the angles 90.00°, 90.00° and 90.00°. The distinct sites, in fractional coordinates, are Rb at (0.000, 0.000, 0.000), Be at (0.000, 0.000, 0.500) and Pb at (0.500, 0.500, 0.500).

As for the calculated volume: 154.8 Å³ per cell. Its energy above the most stable polymorph in this dataset is 4.874 eV per formula unit. The value obtained for the magnetization is 0.0 μB per cell. Its formation energy is 11.04 eV per formula unit. Its electronic total energy is -0.962 eV per atom.

5.
Crystalline CsPaCuSe3 at its relaxed geometry. Source: Alexandria, functional PBE.

The structure belongs to space group P2_1/m (No. 11); the cell edges are 9.779, 4.152 and 10.113 Å and the angles 90.00°, 113.16° and 90.00°. The distinct sites, in fractional coordinates, are Cs at (0.215, 0.250, 0.254), Pa at (0.319, 0.750, 0.841), Cu at (0.084, 0.250, 0.600), Se at (0.125, 0.250, 0.857), Se at (0.194, 0.750, 0.541) and Se at (0.472, 0.750, 0.152).

As for the calculated volume: 377.5 Å³ per cell. As for the formation energy without anion corrections: -110.8 kJ/mol of atoms. The value obtained for the magnetization is 2.0 μB per cell. Its electronic total energy is -5.298 eV per atom.

6.
Crystalline Y2O3 at its relaxed geometry. Source: Alexandria, functional PBE.

The structure belongs to space group P-4m2 (No. 115); the cell edges are 3.801, 3.801 and 5.565 Å and the angles 90.00°, 90.00° and 90.00°. The distinct sites, in fractional coordinates, are Y at (0.000, 0.500, 0.211), O at (0.000, 0.000, 0.000), O at (0.000, 0.000, 0.500) and O at (0.500, 0.500, 0.000).

As for the calculated volume: 80.4 Å³ per cell. As for the formation energy without anion corrections: -317.4 kJ/mol of atoms. The value obtained for the magnetization is 0.0 μB per cell. Its electronic total energy is -8.850 eV per atom.

7.
Crystalline Pm6Ge3Se2S at its relaxed geometry. Source: Alexandria, functional PBE.

The structure belongs to space group C2/m (No. 12); the cell edges are 18.425, 4.221 and 8.460 Å and the angles 90.00°, 103.75° and 90.00°. The distinct sites, in fractional coordinates, are Pm at (0.002, 0.000, 0.251), Pm at (0.165, 0.500, 0.089), Pm at (0.166, 0.500, 0.577), Ge at (0.000, 0.500, 0.000), Ge at (0.167, 0.000, 0.335), Se at (0.166, 0.000, 0.833) and S at (0.000, 0.500, 0.500).

As for the calculated volume: 639.1 Å³ per cell. As for the formation energy without anion corrections: -137.0 kJ/mol of atoms. The value obtained for the magnetization is 0.0 μB per cell. Its electronic total energy is -5.874 eV per atom.

8.
Crystalline LiHoPbI6 at its relaxed geometry. Source: Alexandria, functional PBE.

The structure belongs to space group P-31c (No. 163); the cell edges are 7.6963, 7.6963 and 14.1333 Å and the angles 90.00°, 90.00° and 120.00°. The distinct sites, in fractional coordinates, are Li at (0.3333, 0.6667, 0.2500), Ho at (0.3333, 0.6667, 0.7500), Pb at (0.0000, 0.0000, 0.0000) and I at (0.0023, 0.3553, 0.1292).

As for the calculated volume: 725.0 Å³ per cell. As for the formation energy without anion corrections: -102.4 kJ/mol of atoms. The value obtained for the magnetization is 0.0 μB per cell. Its electronic total energy is -3.228 eV per atom.

9.
Crystalline TaCr2Si at its relaxed geometry. Source: Alexandria, functional PBE.

The structure belongs to space group C2/m (No. 12); the cell edges are 8.579, 3.111 and 4.317 Å and the angles 90.00°, 108.48° and 90.00°. The distinct sites, in fractional coordinates, are Ta at (0.000, 0.000, 0.000), Cr at (0.244, 0.000, 0.713) and Si at (0.000, 0.500, 0.500).

As for the calculated volume: 109.3 Å³ per cell. As for the formation energy without anion corrections: -9.0 kJ/mol of atoms. The value obtained for the magnetization is 0.0 μB per cell. Its electronic total energy is -9.224 eV per atom.

10.
Crystalline Li2Y2ThTl2 at its relaxed geometry. Source: Alexandria, functional PBE.

The structure belongs to space group R-3m (No. 166, hexagonal axes); the cell edges are 4.8533, 4.8533 and 27.0367 Å and the angles 90.00°, 90.00° and 120.00°. The distinct sites, in fractional coordinates, are Li at (0.0000, 0.0000, 0.0932), Y at (0.0000, 0.0000, 0.3715), Th at (0.0000, 0.0000, 0.5000) and Tl at (0.0000, 0.0000, 0.2381).

As for the calculated volume: 551.5 Å³ per cell. The value obtained for the magnetization is 0.0 μB per cell. Its formation energy is -0.86 eV per formula unit. Its electronic total energy is -4.253 eV per atom.

11.
Crystalline Li3Pu2Cl9 at its relaxed geometry. Source: Alexandria, functional PBE.

The structure belongs to space group P6_3/m (No. 176); the cell edges are 7.6523, 7.6523 and 13.1713 Å and the angles 90.00°, 90.00° and 120.00°. The distinct sites, in fractional coordinates, are Li at (0.0940, 0.7725, 0.2500), Pu at (0.3333, 0.6667, 0.5724), Cl at (0.0712, 0.6785, 0.0785) and Cl at (0.1104, 0.7243, 0.7500).

As for the calculated volume: 667.9 Å³ per cell. As for the formation energy without anion corrections: -174.1 kJ/mol of atoms. The value obtained for the magnetization is 20.0 μB per cell. Its electronic total energy is -5.449 eV per atom.

Q: Which formula does entry 7 have?
A: Pm6Ge3Se2S

Q: The highest calculated volume belongs to which entry?
A: LiHoPbI6

Q: Look up the electronic total energy of the first one.
A: -5.251 eV per atom